{
  "formula": "RbAsPdS4",
  "functional": "PBE",
  "state": "optimized geometry",
  "cell": [[8.235, -0.309, 2.693], [-2.030, -0.791, 8.391], [-3.138, -5.299, -6.102]],
  "species": ["As", "As", "Pd", "Pd", "Rb", "Rb", "S", "S", "S", "S", "S", "S", "S", "S"],
  "fractional_positions": [[0.750, 0.250, 0.500], [0.250, 0.750, 0.500], [0.500, 0.000, 0.500], [0.000, 0.500, 0.500], [0.250, 0.250, 0.000], [0.750, 0.750, 0.000], [0.228, 0.728, 0.223], [0.495, 0.995, 0.223], [0.005, 0.228, 0.500], [0.272, 0.495, 0.500], [0.728, 0.505, 0.500], [0.995, 0.772, 0.500], [0.505, 0.005, 0.777], [0.772, 0.272, 0.777]],
  "vol_a3_per_cell": 440.1,
  "crystal_system": "tetragonal",
  "e_tot_ev_per_cell": -61.594
}


{
  "formula": "RbTl3As2Pd2",
  "functional": "PBE",
  "state": "optimized geometry",
  "cell": [[5.808, 0.000, 0.000], [0.000, 5.962, 0.000], [-2.587, 0.000, 6.061]],
  "species": ["As", "As", "Pd", "Pd", "Rb", "Tl", "Tl", "Tl"],
  "fractional_positions": [[0.232, 0.000, 0.316], [0.779, 0.500, 0.685], [0.027, 0.256, 0.002], [0.027, 0.744, 0.002], [0.474, 0.000, 0.865], [0.506, 0.500, 0.159], [0.150, 0.500, 0.461], [0.805, 0.000, 0.508]],
  "vol_a3_per_cell": 209.9,
  "crystal_system": "monoclinic",
  "e_tot_ev_per_cell": -28.948
}


{
  "formula": "ReAsPd",
  "functional": "PBE",
  "state": "optimized geometry",
  "cell": [[0.000, 2.920, 2.920], [2.920, 0.000, 2.920], [2.920, 2.920, 0.000]],
  "species": ["As", "Pd", "Re"],
  "fractional_positions": [[0.000, 0.000, 0.000], [0.250, 0.250, 0.250], [0.750, 0.750, 0.750]],
  "vol_a3_per_cell": 49.8,
  "crystal_system": "cubic",
  "e_tot_ev_per_cell": -21.490
}